Record 1
ErSi | PBE | relaxed

It has space group Cmcm (No. 63), with a = 4.233 Å, b = 10.435 Å, c = 3.807 Å, α = 90.00°, β = 90.00° and γ = 90.00°. The inequivalent atoms are Er at (0.000, 0.140, 0.250) and Si at (0.000, 0.423, 0.250).

Its electronic total energy is -5.82 eV per atom.



Record 2
KAl3Ge | PBE | relaxed

It has space group Pm-3m (No. 221), with a = 5.216 Å, b = 5.216 Å, c = 5.216 Å, α = 90.00°, β = 90.00° and γ = 90.00°. The inequivalent atoms are K at (0.000, 0.000, 0.000), Al at (0.000, 0.500, 0.500) and Ge at (0.500, 0.500, 0.500).

Its formation energy is 0.521 eV/atom. For the distance to the lowest polymorph of the same formula, the calculation gives 0.000 eV/f.u.



Record 3
CuW3Cl | PBE | relaxed

It has space group Pm-3m (No. 221), with a = 4.376 Å, b = 4.376 Å, c = 4.376 Å, α = 90.00°, β = 90.00° and γ = 90.00°. The inequivalent atoms are Cu at (0.000, 0.000, 0.000), W at (0.000, 0.500, 0.500) and Cl at (0.500, 0.500, 0.500).

For the distance to the lowest polymorph of the same formula, the calculation gives 0.000 eV/f.u.



Record 4
PaRuS | PBE | relaxed

It has space group P3m1 (No. 156), with a = 4.1545 Å, b = 4.1545 Å, c = 3.5722 Å, α = 90.00°, β = 90.00° and γ = 120.00°. The inequivalent atoms are Pa at (0.0000, 0.0000, 0.0000), Ru at (0.3333, 0.6667, 0.5020) and S at (0.6667, 0.3333, 0.4987).

For the distance to the lowest polymorph of the same formula, the calculation gives 0.000 eV/f.u.